# Pa4S3O7

A geometry-optimized Pa4S3O7 structure (PBE, Alexandria).

It has space group C2/m (No. 12), with a = 14.481 Å, b = 3.892 Å, c = 8.996 Å, α = 90.00°, β = 127.33° and γ = 90.00°. Symmetry generates all atoms from Pa at (0.105, 0.000, 0.301), Pa at (0.162, 0.500, 0.784), S at (0.000, 0.000, 0.500), S at (0.185, 0.500, 0.182), O at (0.000, 0.000, 0.000), O at (0.003, 0.500, 0.760), O at (0.171, 0.000, 0.915) and O at (0.200, 0.500, 0.544).

The value obtained for the total energy is -124.6 eV/f.u. The formation energy without anion corrections is -2824.4 meV per atom.

=====

# Pa3S3O2

A geometry-optimized Pa3S3O2 structure (PBE, Alexandria).

It has space group Immm (No. 71), with a = 3.670 Å, b = 3.893 Å, c = 20.379 Å, α = 90.00°, β = 90.00° and γ = 90.00°. Symmetry generates all atoms from Pa at (0.000, 0.000, 0.000), Pa at (0.000, 0.500, 0.182), S at (0.000, 0.000, 0.500), S at (0.000, 0.500, 0.380) and O at (0.000, 0.000, 0.248).

The value obtained for the total energy is -68.8 eV/f.u. The formation energy without anion corrections is -2252.4 meV per atom.

=====

# Pa4S6O

A geometry-optimized Pa4S6O structure (PBE, Alexandria).

It has space group P6_3mc (No. 186), with a = 8.8840 Å, b = 8.8840 Å, c = 6.7952 Å, α = 90.00°, β = 90.00° and γ = 120.00°. Symmetry generates all atoms from Pa at (0.1914, 0.3829, 0.0000), Pa at (0.3333, 0.6667, 0.4503), S at (0.0580, 0.5290, 0.7169), S at (0.1365, 0.2730, 0.3874) and O at (0.3333, 0.6667, 0.0982).

The value obtained for the total energy is -87.9 eV/f.u. The formation energy without anion corrections is -1837.6 meV per atom.

=====

# PaSO

A geometry-optimized PaSO structure (PBE, Alexandria).

It has space group Pnma (No. 62), with a = 9.896 Å, b = 3.993 Å, c = 6.182 Å, α = 90.00°, β = 90.00° and γ = 90.00°. Symmetry generates all atoms from Pa at (0.082, 0.250, 0.220), S at (0.155, 0.750, 0.541) and O at (0.069, 0.750, 0.065).

The value obtained for the total energy is -26.3 eV/f.u. The formation energy without anion corrections is -2559.7 meV per atom.

=====

# Pa3S3O4

A geometry-optimized Pa3S3O4 structure (PBE, Alexandria).

It has space group I-43d (No. 220), with a = 8.777 Å, b = 8.777 Å, c = 8.777 Å, α = 90.00°, β = 90.00° and γ = 90.00°. Symmetry generates all atoms from Pa at (0.000, 0.250, 0.375), S at (0.000, 0.250, 0.875) and O at (0.065, 0.435, 0.565).

The value obtained for the total energy is -86.0 eV/f.u. The formation energy without anion corrections is -2530.6 meV per atom.

=====

# ScPa3S2O6

A geometry-optimized ScPa3S2O6 structure (PBE, Alexandria).

It has space group C2/m (No. 12), with a = 12.140 Å, b = 6.994 Å, c = 5.227 Å, α = 90.00°, β = 101.18° and γ = 90.00°. Symmetry generates all atoms from Sc at (0.000, 0.000, 0.000), Pa at (0.000, 0.500, 0.500), Pa at (0.250, 0.250, 0.000), S at (0.200, 0.500, 0.355), O at (0.070, 0.267, 0.784) and O at (0.167, 0.000, 0.135).

The value obtained for the total energy is -107.1 eV/f.u. The formation energy without anion corrections is -2853.1 meV per atom.

=====

# Pa2SeS2O2

A geometry-optimized Pa2SeS2O2 structure (PBE, Alexandria).

It has space group R-3m (No. 166, hexagonal axes), with a = 3.8518 Å, b = 3.8518 Å, c = 33.9269 Å, α = 90.00°, β = 90.00° and γ = 120.00°. Symmetry generates all atoms from Pa at (0.0000, 0.0000, 0.0994), Se at (0.0000, 0.0000, 0.5000), S at (0.0000, 0.0000, 0.3845) and O at (0.0000, 0.0000, 0.2275).

The value obtained for the total energy is -56.8 eV/f.u. The formation energy without anion corrections is -2310.6 meV per atom.

=====

# Pa2SeSO2

A geometry-optimized Pa2SeSO2 structure (PBE, Alexandria).

It has space group P-3m1 (No. 164), with a = 3.8461 Å, b = 3.8461 Å, c = 8.2741 Å, α = 90.00°, β = 90.00° and γ = 120.00°. Symmetry generates all atoms from Pa at (0.3333, 0.6667, 0.2629), Se at (0.0000, 0.0000, 0.0000), S at (0.0000, 0.0000, 0.5000) and O at (0.3333, 0.6667, 0.7424).

The value obtained for the total energy is -51.9 eV/f.u. The formation energy without anion corrections is -2565.6 meV per atom.